Al2MoSe | Alexandria | PBE | optimized geometry; crystal system = orthorhombic; D(E_F) = 1.9 states/eV per cell; E_form (uncorrected) = 52.1 meV/atom; theoretical density = 5.739 g cm⁻³
1.0
5.2308 0.0161 -0.0032
2.1384 4.7738 0.0032
-3.1384 -3.2354 2.6542
Al Se Mo
2 1 1
Cartesian
0.0249 0.0162 0.0000
2.8599 -0.4307 1.3255
1.4336 2.0260 1.3287
3.5970 2.3380 0.0000